Density functional theory data (GGA+U) for a geometry-optimized NdBi2MoO8 structure.

Computed properties:
total moment = 0.00 μB/f.u.
total DFT energy (no corrections) = -79.73 eV for the cell shown

Geometry as CIF:
```
data_NdBi2MoO8
_chemical_formula_sum 'Nd1 Bi2 Mo1 O8'
_cell_length_a 5.176
_cell_length_b 6.917
_cell_length_c 5.186
_cell_angle_alpha 90.00
_cell_angle_beta 90.75
_cell_angle_gamma 90.00
_space_group_name_H-M_alt 'P 1 2/m 1'
_space_group_IT_number 10
loop_
_space_group_symop_operation_xyz
'x,y,z'
'-x,-y,-z'
'-x,y,-z'
'x,-y,z'
loop_
_atom_site_label
_atom_site_type_symbol
_atom_site_fract_x
_atom_site_fract_y
_atom_site_fract_z
Nd1 Nd 0.000 0.000 0.000
Bi1 Bi 0.500 0.257 0.500
Mo1 Mo 0.000 0.500 0.000
O1 O 0.183 0.290 0.180
O2 O 0.263 0.500 0.734
O3 O 0.317 0.000 0.682
```